[1]
# Ho2TmAu | Alexandria | PBE-GGA | optimized geometry
# ΔE_f in eV per atom: -0.400
# Theoretical density in Mg/m³: 10.328
data_Ho2TmAu
_chemical_formula_sum 'Ho8 Tm4 Au4'
_cell_length_a 4.873
_cell_length_b 11.743
_cell_length_c 7.819
_cell_angle_alpha 90.00
_cell_angle_beta 90.00
_cell_angle_gamma 90.00
_space_group_name_H-M_alt 'C m c m'
_space_group_IT_number 63
_space_group_name_Hall '-C 2c 2'
loop_
_atom_site_label
_atom_site_type_symbol
_atom_site_fract_x
_atom_site_fract_y
_atom_site_fract_z
Ho1 Ho 0.000 0.144 0.036
Tm1 Tm 0.000 0.458 0.250
Au1 Au 0.000 0.295 0.750

[2]
# HoTmZnAu | Alexandria | PBE-GGA | optimized geometry
# ΔE_f in eV per atom: -0.611
# Theoretical density in Mg/m³: 11.011
data_HoTmZnAu
_chemical_formula_sum 'Ho4 Tm4 Zn4 Au4'
_cell_length_a 7.112
_cell_length_b 7.112
_cell_length_c 7.112
_cell_angle_alpha 90.00
_cell_angle_beta 90.00
_cell_angle_gamma 90.00
_space_group_name_H-M_alt 'F -4 3 m'
_space_group_IT_number 216
_space_group_name_Hall 'F -4 2 3'
loop_
_atom_site_label
_atom_site_type_symbol
_atom_site_fract_x
_atom_site_fract_y
_atom_site_fract_z
Ho1 Ho 0.000 0.000 0.000
Tm1 Tm 0.000 0.000 0.500
Zn1 Zn 0.250 0.250 0.250
Au1 Au 0.250 0.250 0.750